(1)
Computed, not measured: crystalline Na2LiBi2 at its relaxed geometry at the PBE level of DFT.

Properties
Total moment: 0.0 μB per cell
DFT formation energy: -0.32 eV/atom
D(E_F): 3.5 states/eV/cell
Uncorrected energy: -27.80 eV/cell

Cell lengths 7.679, 7.679, 4.997 Å; angles 90.00, 90.00, 90.00 degrees
Space group P4/mbm (No. 127)
Symmetry-distinct sites (fractional):
Na (0.162, 0.338, 0.000) [4 per cell]
Li (0.000, 0.000, 0.500) [2 per cell]
Bi (0.142, 0.642, 0.500) [4 per cell]

***

(2)
Computed, not measured: crystalline NaLi2Bi6 at its relaxed geometry at the PBE level of DFT.

Properties
Total moment: 0.0 μB per cell
DFT formation energy: -0.14 eV/atom
D(E_F): 5.8 states/eV/cell
Uncorrected energy: -59.47 eV/cell

Cell lengths 17.539, 6.824, 4.900 Å; angles 90.00, 102.02, 90.00 degrees
Space group C2/m (No. 12)
Symmetry-distinct sites (fractional):
Na (0.000, 0.000, 0.000) [2 per cell]
Li (0.092, 0.500, 0.100) [4 per cell]
Bi (0.000, 0.274, 0.500) [4 per cell]
Bi (0.190, 0.239, 0.706) [8 per cell]